Entry from Alexandria via LeMat-Bulk: an optimized crystal structure of Na2Mn3O7 (PBE+U).

CIF file:
```
data_Na2Mn3O7
_chemical_formula_sum 'Na4 Mn6 O14'
_symmetry_space_group_name_H-M 'P -1'
_symmetry_Int_Tables_number 2
_cell_length_a 6.823
_cell_length_b 6.853
_cell_length_c 7.715
_cell_angle_alpha 109.94
_cell_angle_beta 103.01
_cell_angle_gamma 111.08
loop_
_symmetry_equiv_pos_as_xyz
'x,y,z'
'-x,-y,-z'
loop_
_atom_site_label
_atom_site_type_symbol
_atom_site_fract_x
_atom_site_fract_y
_atom_site_fract_z
Na1 Na 0.172 0.165 0.440
Na2 Na 0.315 0.231 0.026
Mn1 Mn 0.078 0.577 0.720
Mn2 Mn 0.218 0.720 0.142
Mn3 Mn 0.360 0.857 0.579
O1 O 0.058 0.378 0.084
O2 O 0.086 0.762 0.349
O3 O 0.196 0.886 0.746
O4 O 0.208 0.529 0.517
O5 O 0.318 0.629 0.934
O6 O 0.355 0.047 0.225
O7 O 0.490 0.811 0.365
```

total magnetization	18.00	Bohr magnetons per cell
electronic total energy	-0.4780	Ry/atom